[1]
This record from Alexandria describes a geometry-optimized TlCdTeMo structure. The functional is PBE-GGA.

Offset from the most stable computed form ... 0.5 meV/atom
Energy relative to the elements, uncorrected ... 0.6 eV/f.u.

Cell: 3.358 3.358 10.476 Å, 83.50 82.41 60.07°
Fractional positions:
Tl1 0.256 0.198 0.066
Cd1 0.834 0.817 0.332
Te1 0.712 0.741 0.721
Mo1 0.101 0.109 0.545


[2]
This record from Alexandria describes a geometry-optimized TlCdTeMo structure. The functional is PBE-GGA.

Offset from the most stable computed form ... 133.4 meV/atom
Energy relative to the elements, uncorrected ... 1.1 eV/f.u.

Cell: 3.216 4.882 13.381 Å, 90.00 90.00 90.00°
Fractional positions:
Tl1 0.000 0.000 0.689
Tl2 0.000 0.500 0.189
Cd1 0.000 0.000 0.029
Cd2 0.000 0.500 0.529
Te1 0.000 0.000 0.349
Te2 0.000 0.500 0.849
Mo1 0.500 0.000 0.507
Mo2 0.500 0.500 0.007